Below is Cs3TaI at its PBEsol-relaxed geometry, with properties calculated at the SCAN level.

Cell lengths 7.0221, 7.0221, 7.0221 Å; angles 90.00, 90.00, 90.00 degrees
Closest atoms and distances in Å follow each position.
Space group Pm-3m (No. 221)
Inequivalent atoms, fractional coordinates:
Cs 0.0000 0.0000 0.5000 x3  2 I 3.51
Ta 0.5000 0.5000 0.5000 x1  12 Cs 4.97
I 0.0000 0.0000 0.0000 x1  6 Cs 3.51

DOS(E_F): 12.04 states/eV per cell
Formation energy without anion corrections: 0.683 eV/atom
Total DFT energy (no corrections): -3.13607 Ry/atom

Below is Si2Se at its PBEsol-relaxed geometry, with properties calculated at the SCAN level.

Cell lengths 3.6243, 3.6243, 5.2036 Å; angles 90.00, 90.00, 90.00 degrees
Closest atoms and distances in Å follow each position.
Space group P4/mmm (No. 123)
Inequivalent atoms, fractional coordinates:
Si 0.0000 0.0000 0.0000 x1  2 Se 2.60
Si 0.5000 0.5000 0.5000 x1  4 Se 2.56
Se 0.0000 0.0000 0.5000 x1  6 Si 2.56-2.60

DOS(E_F): 1.93 states/eV per cell
Relative energy among the computed polymorphs: 0.000 eV/atom
Formation energy without anion corrections: 1.083 eV/atom
Total DFT energy (no corrections): -0.90307 Ry/atom

Below is Ca2CrRe at its PBEsol-relaxed geometry, with properties calculated at the SCAN level.

Cell lengths 7.0031, 7.0031, 7.0031 Å; angles 90.00, 90.00, 90.00 degrees
Closest atoms and distances in Å follow each position.
Space group Fm-3m (No. 225)
Inequivalent atoms, fractional coordinates:
Ca 0.2500 0.2500 0.2500 x8  4 Cr 3.03, 4 Re 3.03
Cr 0.0000 0.0000 0.0000 x4  8 Ca 3.03
Re 0.0000 0.0000 0.5000 x4  8 Ca 3.03

DOS(E_F): 15.31 states/eV per cell
Relative energy among the computed polymorphs: 0.000 eV/atom
Total DFT energy (no corrections): -1.93009 Ry/atom

Below is TaSi2Os at its PBEsol-relaxed geometry, with properties calculated at the SCAN level.

Cell lengths 3.7853, 3.7853, 17.5803 Å; angles 90.00, 90.00, 90.00 degrees
Closest atoms and distances in Å follow each position.
Space group I-42d (No. 122)
Inequivalent atoms, fractional coordinates:
Ta 0.0000 0.0000 0.0000 x4  4 Si 2.61, 4 Os 2.68
Si 0.2226 0.2500 0.6250 x8  4 Si 2.53-2.83, 2 Os 2.54, 2 Ta 2.61
Os 0.0000 0.0000 0.5000 x4  4 Si 2.54, 4 Ta 2.68

DOS(E_F): 11.26 states/eV per cell
Formation energy without anion corrections: 0.200 eV/atom
Total DFT energy (no corrections): -2.89761 Ry/atom